1.
CsGa2P2 after structural relaxation. Source: the Alexandria database, functional PBE-GGA.

```
CsGa2P2
1.0
4.3274 0.0000 0.0000
0.0000 4.3274 0.0000
2.1637 2.1637 7.1671
Ga Cs P
2 1 2
direct
0.7500 0.2500 0.5000
0.2500 0.7500 0.5000
0.0000 0.0000 0.0000
0.3389 0.3389 0.3223
0.6611 0.6611 0.6777
```

Properties
Density of states at the Fermi level, states/eV/atom: 0.16
Space group: I4/mmm
E above lowest polymorph, eV/atom: 0.000
Energy of formation from the pure elements, meV per atom: -359
Crystal system: tetragonal


2.
CsGa2CuSe4 after structural relaxation. Source: the Alexandria database, functional PBE-GGA.

```
CsGa2CuSe4
1.0
-4.8416 3.9393 0.7546
-2.7498 0.3658 6.6390
1.7036 6.9165 1.0150
Cu Ga Cs Se
1 2 1 4
direct
0.0000 0.5000 0.5000
0.5000 0.6616 0.3384
0.5000 0.3384 0.6616
0.0000 0.0000 0.0000
0.6206 0.5020 0.8222
0.9448 0.4980 0.1778
0.3794 0.1778 0.4980
0.0552 0.8222 0.5020
```

Properties
Space group: I222
Formation energy (no corrections), eV per atom: -0.4175
Crystal system: orthorhombic


Copy entry 2 word for word.
CsGa2CuSe4 after structural relaxation. Source: the Alexandria database, functional PBE-GGA.

```
CsGa2CuSe4
1.0
-4.8416 3.9393 0.7546
-2.7498 0.3658 6.6390
1.7036 6.9165 1.0150
Cu Ga Cs Se
1 2 1 4
direct
0.0000 0.5000 0.5000
0.5000 0.6616 0.3384
0.5000 0.3384 0.6616
0.0000 0.0000 0.0000
0.6206 0.5020 0.8222
0.9448 0.4980 0.1778
0.3794 0.1778 0.4980
0.0552 0.8222 0.5020
```

Properties
Space group: I222
Formation energy (no corrections), eV per atom: -0.4175
Crystal system: orthorhombic